LiMg3Cd after structural relaxation, computed with GGA-PBE.

Cell lengths 4.972, 16.859, 4.959 Å; angles 90.00, 90.00, 90.00 degrees
Space group Cmcm (No. 63)
One atom of each set of equivalent atoms:
Li 0.000 0.250 0.250
Mg 0.000 0.054 0.250
Mg 0.000 0.160 0.750
Mg 0.000 0.445 0.250
Cd 0.000 0.343 0.750

D(E_F) = 6.06 states/eV/cell
raw total energy = -1.62 eV per atom
size of the total moment = 0.00 μB/f.u.
relative energy among the computed polymorphs = 0.0104 eV per atom
E_form = -100 meV per atom